[1]
The following is a DFT calculation (PBE-GGA) of crystalline Nd2PuRh2 at its relaxed geometry.

Cell lengths 6.0938, 6.0938, 7.8386 Å; angles 79.47, 79.47, 59.02 degrees
With the nearest neighbours (Å) after each atom.
Fractional coordinates of all 10 atoms:
Rh: 0.7293 0.9938 0.5068  2 Pu 2.64-2.71, 1 Rh 2.78
Rh: 0.2707 0.0062 0.4932  2 Pu 2.64-2.71, 1 Rh 2.78
Rh: 0.9938 0.7293 0.0068  2 Pu 2.64-2.71, 1 Rh 2.78
Rh: 0.0062 0.2707 0.9932  2 Pu 2.64-2.71, 1 Rh 2.78
Nd: 0.5258 0.7762 0.8501  6 Rh 3.12-3.39
Nd: 0.2238 0.4742 0.6499  6 Rh 3.12-3.39
Nd: 0.7762 0.5258 0.3501  6 Rh 3.12-3.39
Nd: 0.4742 0.2238 0.1499  6 Rh 3.12-3.39
Pu: 0.8759 0.1241 0.7500  4 Rh 2.64-2.71
Pu: 0.1241 0.8759 0.2500  4 Rh 2.64-2.71

Magnetization (μB/cell): 11.50
Polymorph energy (0 for the lowest one) (meV/atom): 0
Space group: C2/c, No. 15
Formation energy from the elements (eV/atom): -0.54

[2]
The following is a DFT calculation (PBE-GGA) of crystalline Nd2PuRh2 at its relaxed geometry.

Cell lengths 6.0097, 8.0051, 7.3442 Å; angles 123.02, 114.15, 90.00 degrees
With the nearest neighbours (Å) after each atom.
Fractional coordinates of all 10 atoms:
Nd: 0.1651 0.3006 0.3302  3 Rh 2.83-2.99
Nd: 0.3349 0.9704 0.6698  3 Rh 2.83-2.99
Nd: 0.6651 0.0296 0.3302  3 Rh 2.83-2.99
Nd: 0.8349 0.6994 0.6698  3 Rh 2.83-2.99
Rh: 0.5924 0.3177 0.1849  3 Nd 2.83-2.99, 2 Pu 2.84
Rh: 0.4076 0.6823 0.8151  3 Nd 2.83-2.99, 2 Pu 2.84
Rh: 0.0924 0.8672 0.1849  3 Nd 2.83-2.99, 2 Pu 2.84
Rh: 0.9076 0.1328 0.8151  3 Nd 2.83-2.99, 2 Pu 2.84
Pu: 0.2500 0.5000 0.0000  4 Rh 2.84, 2 Pu 3.00
Pu: 0.7500 0.5000 0.0000  4 Rh 2.84, 2 Pu 3.00

Magnetization (μB/cell): 11.66
Polymorph energy (0 for the lowest one) (meV/atom): 117
Space group: Ibam, No. 72
Formation energy from the elements (eV/atom): -0.42

[3]
The following is a DFT calculation (PBE-GGA) of crystalline NdPu2Rh9 at its relaxed geometry.

Cell lengths 5.2827, 5.2827, 9.2815 Å; angles 73.47, 73.47, 60.00 degrees
With the nearest neighbours (Å) after each atom.
Fractional coordinates of all 12 atoms:
Pu: 0.8598 0.8598 0.4205  12 Rh 3.03-3.25, 3 Pu 3.35
Pu: 0.1402 0.1402 0.5795  12 Rh 3.03-3.25, 3 Pu 3.35
Rh: 0.5853 0.0808 0.7486  7 Rh 2.62-2.69
Rh: 0.6666 0.6666 0.0001  6 Rh 2.67-2.69
Rh: 0.3334 0.3334 0.9999  6 Rh 2.67-2.69
Rh: 0.5000 0.5000 0.5000  6 Rh 2.67
Rh: 0.4147 0.9192 0.2514  7 Rh 2.62-2.69
Rh: 0.0808 0.5853 0.7486  7 Rh 2.62-2.69
Rh: 0.4147 0.4147 0.2514  7 Rh 2.62-2.69
Rh: 0.5853 0.5853 0.7486  7 Rh 2.62-2.69
Rh: 0.9192 0.4147 0.2514  7 Rh 2.62-2.69
Nd: 0.0000 0.0000 0.0000  6 Rh 3.05

Magnetization (μB/cell): 8.44
Space group: R-3m, No. 166
Formation energy from the elements (eV/atom): -0.42

[4]
The following is a DFT calculation (PBE-GGA) of crystalline NdPuRuRh at its relaxed geometry.

Cell lengths 4.8986, 4.8986, 4.8986 Å; angles 60.00, 60.00, 60.00 degrees
With the nearest neighbours (Å) after each atom.
Fractional coordinates of all 4 atoms:
Rh: 0.7500 0.7500 0.7500  4 Pu 3.00, 4 Nd 3.00
Nd: 0.0000 0.0000 0.0000  4 Ru 3.00, 4 Rh 3.00
Pu: 0.5000 0.5000 0.5000  4 Rh 3.00, 4 Ru 3.00
Ru: 0.2500 0.2500 0.2500  4 Nd 3.00, 4 Pu 3.00

Magnetization (μB/cell): 4.61
Space group: F-43m, No. 216
Formation energy from the elements (eV/atom): -0.28

[5]
The following is a DFT calculation (PBE-GGA) of crystalline Nd2PuSn3Rh4 at its relaxed geometry.

Cell lengths 4.4858, 4.4858, 11.1197 Å; angles 90.00, 90.00, 90.00 degrees
With the nearest neighbours (Å) after each atom.
Fractional coordinates of all 10 atoms:
Pu: 0.5000 0.5000 0.5000  4 Rh 2.73
Rh: 0.5000 0.0000 0.6397  3 Sn 2.59-2.73, 2 Pu 2.73
Rh: 0.0000 0.0000 0.0000  4 Sn 2.65
Rh: 0.0000 0.5000 0.3603  3 Sn 2.59-2.73, 2 Pu 2.73
Rh: 0.5000 0.5000 0.0000  4 Sn 2.65
Nd: 0.0000 0.5000 0.7680  6 Sn 3.38-3.73, 8 Rh 3.42-3.48, 2 Pu 3.73
Nd: 0.5000 0.0000 0.2320  6 Sn 3.38-3.73, 8 Rh 3.42-3.48, 2 Pu 3.73
Sn: 0.5000 0.0000 0.8730  5 Rh 2.59-2.65
Sn: 0.0000 0.5000 0.1270  5 Rh 2.59-2.65
Sn: 0.0000 0.0000 0.5000  4 Rh 2.73

Magnetization (μB/cell): 4.82
Space group: P-4m2, No. 115
Formation energy from the elements (eV/atom): -0.67

[6]
The following is a DFT calculation (PBE-GGA) of crystalline Nd2PuZn2Rh5 at its relaxed geometry.

Cell lengths 3.7361, 9.9307, 9.9307 Å; angles 90.00, 90.00, 90.00 degrees
With the nearest neighbours (Å) after each atom.
Fractional coordinates of all 20 atoms:
Rh: 0.5000 0.7061 0.4325  2 Zn 2.58, 2 Pu 2.85
Rh: 0.5000 0.0675 0.7939  2 Zn 2.58, 2 Pu 2.85
Rh: 0.5000 0.0000 0.5000  4 Zn 2.54
Rh: 0.5000 0.2939 0.5675  2 Zn 2.58, 2 Pu 2.85
Rh: 0.5000 0.2061 0.0675  2 Zn 2.58, 2 Pu 2.85
Rh: 0.5000 0.7939 0.9325  2 Zn 2.58, 2 Pu 2.85
Rh: 0.5000 0.4325 0.2939  2 Zn 2.58, 2 Pu 2.85
Rh: 0.5000 0.9325 0.2061  2 Zn 2.58, 2 Pu 2.85
Rh: 0.5000 0.5000 0.0000  4 Zn 2.54
Rh: 0.5000 0.5675 0.7061  2 Zn 2.58, 2 Pu 2.85
Pu: 0.0000 0.0000 0.0000  8 Rh 2.85
Pu: 0.0000 0.5000 0.5000  8 Rh 2.85
Nd: 0.0000 0.6723 0.1723  3 Zn 2.87-2.97, 6 Rh 3.06-3.21
Nd: 0.0000 0.8277 0.6723  3 Zn 2.87-2.97, 6 Rh 3.06-3.21
Nd: 0.0000 0.1723 0.3277  3 Zn 2.87-2.97, 6 Rh 3.06-3.21
Nd: 0.0000 0.3277 0.8277  3 Zn 2.87-2.97, 6 Rh 3.06-3.21
Zn: 0.0000 0.6231 0.8769  6 Rh 2.54-2.58
Zn: 0.0000 0.1231 0.6231  6 Rh 2.54-2.58
Zn: 0.0000 0.3769 0.1231  6 Rh 2.54-2.58
Zn: 0.0000 0.8769 0.3769  6 Rh 2.54-2.58

Magnetization (μB/cell): 8.86
Space group: P4/mbm, No. 127
Formation energy from the elements (eV/atom): -0.56

[7]
The following is a DFT calculation (PBE-GGA) of crystalline NdPuZnRh at its relaxed geometry.

Cell lengths 5.0243, 5.0243, 5.0243 Å; angles 60.00, 60.00, 60.00 degrees
With the nearest neighbours (Å) after each atom.
Fractional coordinates of all 4 atoms:
Zn: 0.0000 0.0000 0.0000  4 Nd 3.08, 4 Pu 3.08
Pu: 0.2500 0.2500 0.2500  4 Zn 3.08, 4 Rh 3.08
Nd: 0.7500 0.7500 0.7500  4 Rh 3.08, 4 Zn 3.08
Rh: 0.5000 0.5000 0.5000  4 Pu 3.08, 4 Nd 3.08

Magnetization (μB/cell): 5.48
Space group: F-43m, No. 216
Formation energy from the elements (eV/atom): -0.31

[8]
The following is a DFT calculation (PBE-GGA) of crystalline NdPuRu at its relaxed geometry.

Cell lengths 4.4314, 4.4272, 4.4272 Å; angles 120.00, 90.00, 90.00 degrees
With the nearest neighbours (Å) after each atom.
Fractional coordinates of all 3 atoms:
Pu: 0.1666 0.3333 0.6667  3 Ru 2.56
Ru: 0.1668 0.0000 0.0000  3 Pu 2.56
Nd: 0.6666 0.6667 0.3333  6 Ru 3.38, 6 Pu 3.38

Magnetization (μB/cell): 5.17
Polymorph energy (0 for the lowest one) (meV/atom): 117
Space group: P-6m2, No. 187
Formation energy from the elements (eV/atom): 0.00

[9]
The following is a DFT calculation (PBE-GGA) of crystalline NdPuRu at its relaxed geometry.

Cell lengths 6.7557, 6.7422, 7.3178 Å; angles 108.88, 90.00, 90.00 degrees
With the nearest neighbours (Å) after each atom.
Fractional coordinates of all 12 atoms:
Nd: 0.8440 0.7172 0.9198  4 Ru 3.05-3.42
Nd: 0.6560 0.2172 0.4198  4 Ru 3.05-3.42
Nd: 0.1560 0.2828 0.0802  4 Ru 3.05-3.42
Nd: 0.3440 0.7828 0.5802  4 Ru 3.05-3.42
Ru: 0.0498 0.9870 0.3050  3 Pu 2.51-2.69
Ru: 0.9502 0.0130 0.6950  3 Pu 2.51-2.69
Ru: 0.4502 0.4870 0.8050  3 Pu 2.51-2.69
Ru: 0.5498 0.5130 0.1950  3 Pu 2.51-2.69
Pu: 0.3356 0.8018 0.1006  3 Ru 2.51-2.69
Pu: 0.1644 0.3018 0.6006  3 Ru 2.51-2.69
Pu: 0.6644 0.1982 0.8994  3 Ru 2.51-2.69
Pu: 0.8356 0.6982 0.3994  3 Ru 2.51-2.69

Magnetization (μB/cell): 20.00
Polymorph energy (0 for the lowest one) (meV/atom): 0
Space group: P2_1/c, No. 14
Formation energy from the elements (eV/atom): -0.11

[10]
The following is a DFT calculation (PBE-GGA) of crystalline NdPu2Ru at its relaxed geometry.

Cell lengths 4.7237, 4.7237, 5.7536 Å; angles 65.76, 65.76, 60.00 degrees
With the nearest neighbours (Å) after each atom.
Fractional coordinates of all 4 atoms:
Pu: 0.2730 0.2730 0.1809  3 Ru 2.88, 3 Nd 3.17
Pu: 0.7270 0.7270 0.8191  3 Ru 2.88, 3 Nd 3.17
Nd: 0.5000 0.5000 0.5000  8 Pu 3.17-3.45
Ru: 0.0000 0.0000 0.0000  6 Pu 2.88

Magnetization (μB/cell): 11.02
Polymorph energy (0 for the lowest one) (meV/atom): 203
Space group: R-3m, No. 166
Formation energy from the elements (eV/atom): 0.14

[11]
The following is a DFT calculation (PBE-GGA) of crystalline Nd2Pu3Ru4 at its relaxed geometry.

Cell lengths 6.1721, 7.6536, 8.7676 Å; angles 90.00, 110.61, 90.00 degrees
With the nearest neighbours (Å) after each atom.
Fractional coordinates of all 18 atoms:
Pu: 0.9768 0.2500 0.4537  3 Ru 2.63-2.82
Pu: 0.5232 0.7500 0.5463  3 Ru 2.63-2.82
Pu: 0.0232 0.7500 0.5463  3 Ru 2.63-2.82
Pu: 0.4768 0.2500 0.4537  3 Ru 2.63-2.82
Pu: 0.5000 0.5000 0.0000  6 Ru 2.63-2.69
Pu: 0.0000 0.0000 0.0000  6 Ru 2.63-2.69
Ru: 0.3402 0.4776 0.6804  3 Pu 2.63-2.82
Ru: 0.8163 0.2500 0.1326  3 Pu 2.63-2.69
Ru: 0.1598 0.9776 0.3196  3 Pu 2.63-2.82
Ru: 0.3163 0.2500 0.1326  3 Pu 2.63-2.69
Ru: 0.1837 0.7500 0.8674  3 Pu 2.63-2.69
Ru: 0.6837 0.7500 0.8674  3 Pu 2.63-2.69
Ru: 0.6598 0.5224 0.3196  3 Pu 2.63-2.82
Ru: 0.8402 0.0224 0.6804  3 Pu 2.63-2.82
Nd: 0.0988 0.5970 0.1975  7 Ru 3.08-3.33
Nd: 0.5988 0.9030 0.1975  7 Ru 3.08-3.33
Nd: 0.9012 0.4030 0.8025  7 Ru 3.08-3.33
Nd: 0.4012 0.0970 0.8025  7 Ru 3.08-3.33

Magnetization (μB/cell): 27.66
Space group: Cmce, No. 64
Formation energy from the elements (eV/atom): -0.19

[12]
The following is a DFT calculation (PBE-GGA) of crystalline NdPuRu at its relaxed geometry.

Cell lengths 4.8253, 4.8253, 4.8253 Å; angles 60.00, 60.00, 60.00 degrees
With the nearest neighbours (Å) after each atom.
Fractional coordinates of all 3 atoms:
Ru: 0.2500 0.2500 0.2500  4 Nd 2.95, 4 Pu 2.95
Pu: 0.5000 0.5000 0.5000  4 Ru 2.95
Nd: 0.0000 0.0000 0.0000  4 Ru 2.95

Magnetization (μB/cell): 5.23
Polymorph energy (0 for the lowest one) (meV/atom): 158
Space group: F-43m, No. 216
Formation energy from the elements (eV/atom): 0.05